{
  "formula": "Er2OsSe",
  "functional": "GGA-PBE",
  "state": "optimized geometry",
  "n_ef_per_ev_cell": 0.61,
  "formation_energy_uncorrected_ev_per_atom": -0.8729,
  "sg": "P4/mmm, No. 123",
  "lattice": [[3.4308, 0.0000, 0.0000], [0.0000, 3.4308, 0.0000], [0.0000, 0.0000, 7.1579]],
  "species": ["Er", "Er", "Os", "Se"],
  "fractional_positions": [[0.0000, 0.0000, 0.2323], [0.0000, 0.0000, 0.7677], [0.5000, 0.5000, 0.0000], [0.5000, 0.5000, 0.5000]]
}